The following is a DFT calculation (GGA+U) of a geometry-optimized Na5NiCO5 structure.

- Volume: 15.434 Å³/atom
- VASP energy: -4.98 eV per atom
- Total magnetic moment: 1.00 μB per formula unit

abc: 4.466 4.879 8.500
angles: 90.00 90.00 90.00
Last column: magnetic moment on the atom in μB.
Fractional positions:
O  0.500  0.006  0.711  0.04
O  0.000  0.559  0.866  0.00
Ni  0.500  0.006  0.500  1.03
Na  0.500  0.968  0.000  0.00
O  0.000  0.162  0.000  0.00
Na  0.500  0.503  0.279  0.00
Na  0.000  0.995  0.252  0.00
Na  0.500  0.503  0.721  0.00
Na  0.000  0.995  0.748  0.00
C  0.000  0.429  0.000  0.00
O  0.000  0.559  0.134  0.00
O  0.500  0.006  0.289  0.04